DFT (GGA-PBE) results for crystalline Cs3H3Au2 at its relaxed geometry.

Cell lengths 3.759, 6.934, 18.437 Å; angles 90.00, 90.00, 105.73 degrees
Positions (direct):
H 0.376 0.751 0.921
H 0.624 0.249 0.079
H 0.624 0.249 0.421
H 0.327 0.653 0.250
H 0.376 0.751 0.579
H 0.673 0.347 0.750
Cs 0.368 0.737 0.750
Cs 0.632 0.263 0.250
Cs 0.138 0.276 0.612
Cs 0.138 0.276 0.888
Cs 0.862 0.724 0.388
Cs 0.862 0.724 0.112
Au 0.126 0.252 0.419
Au 0.874 0.748 0.581
Au 0.126 0.252 0.081
Au 0.874 0.748 0.919

**Final energy**: -40.11 eV/cell
**Total moment**: 0.00 μB/f.u.
**D(E_F)**: 2.54 states/eV/cell